This record from Alexandria via LeMat-Bulk describes Mo2Rh2Au after structural relaxation. The functional is PBE.

It has space group P4/mbm (No. 127), with a = 7.667 Å, b = 7.667 Å, c = 2.767 Å, α = 90.00°, β = 90.00° and γ = 90.00°. Symmetry generates all atoms from Mo at (0.119, 0.381, 0.000), Rh at (0.170, 0.670, 0.500) and Au at (0.000, 0.000, 0.000).

The energy above the lowest structure with this stoichiometry comes out at 63 meV/atom.